No. 1
Computed, not measured: a geometry-optimized Dy2ErO3 structure at the PBE level of DFT.

abc: 3.374 3.374 8.245
angles: 90.00 90.00 120.00
Positions (direct):
Dy (0.333, 0.667, 0.167)
Dy (0.667, 0.333, 0.833)
Er (0.000, 0.000, 0.500)
O (0.000, 0.000, 0.000)
O (0.333, 0.667, 0.659)
O (0.667, 0.333, 0.341)

Properties
Energy   -7.56 eV/atom
Space-group type   P-3m1


No. 2
Computed, not measured: a geometry-optimized Gd2TmIn3Cu2Ni structure at the PBE level of DFT.

abc: 3.901 7.465 7.465
angles: 120.01 90.00 90.00
Positions (direct):
Gd (0.000, 0.204, 0.796)
Gd (0.000, 0.796, 0.204)
Tm (0.000, 0.389, 0.389)
In (0.500, 0.048, 0.048)
In (0.500, 0.543, 0.794)
In (0.500, 0.794, 0.543)
Cu (0.500, 0.132, 0.461)
Cu (0.500, 0.461, 0.132)
Ni (0.000, 0.791, 0.791)

Properties
Energy   -4.33 eV/atom
Space-group type   Amm2


No. 3
Computed, not measured: a geometry-optimized Sr2GaSn3Pt2 structure at the PBE level of DFT.

abc: 11.684 4.429 7.601
angles: 90.00 90.02 90.00
Positions (direct):
Sr (0.000, 0.000, 0.000)
Sr (0.128, 0.000, 0.481)
Sr (0.500, 0.500, 0.000)
Sr (0.628, 0.500, 0.481)
Ga (0.402, 0.000, 0.284)
Ga (0.902, 0.500, 0.284)
Sn (0.214, 0.500, 0.184)
Sn (0.219, 0.500, 0.778)
Sn (0.421, 0.000, 0.679)
Sn (0.714, 0.000, 0.184)
Sn (0.719, 0.000, 0.778)
Sn (0.921, 0.500, 0.679)
Pt (0.281, 0.000, 0.985)
Pt (0.359, 0.500, 0.472)
Pt (0.781, 0.500, 0.985)
Pt (0.859, 0.000, 0.472)

Properties
Energy   -4.55 eV/atom
Space-group type   Cm


No. 4
Computed, not measured: a geometry-optimized AlZnPd structure at the PBE level of DFT.

abc: 5.936 5.936 5.936
angles: 90.00 90.00 90.00
Positions (direct):
Al (0.000, 0.000, 0.000)
Al (0.000, 0.500, 0.500)
Al (0.500, 0.000, 0.500)
Al (0.500, 0.500, 0.000)
Zn (0.000, 0.000, 0.500)
Zn (0.000, 0.500, 0.000)
Zn (0.500, 0.000, 0.000)
Zn (0.500, 0.500, 0.500)
Pd (0.250, 0.250, 0.250)
Pd (0.250, 0.750, 0.750)
Pd (0.750, 0.250, 0.750)
Pd (0.750, 0.750, 0.250)

Properties
Energy   -3.82 eV/atom
Space-group type   F-43m


No. 5
Computed, not measured: a geometry-optimized Pa2CoS4 structure at the PBE level of DFT.

abc: 6.263 5.783 7.418
angles: 90.00 107.17 90.00
Positions (direct):
Pa (0.239, 0.250, 0.057)
Pa (0.251, 0.250, 0.566)
Pa (0.749, 0.750, 0.434)
Pa (0.761, 0.750, 0.943)
Co (0.238, 0.750, 0.811)
Co (0.762, 0.250, 0.189)
S (0.018, 0.511, 0.258)
S (0.018, 0.989, 0.258)
S (0.421, 0.750, 0.106)
S (0.427, 0.750, 0.610)
S (0.573, 0.250, 0.390)
S (0.579, 0.250, 0.894)
S (0.982, 0.011, 0.742)
S (0.982, 0.489, 0.742)

Properties
Energy   -7.47 eV/atom
Space-group type   P2_1/m


No. 6
Computed, not measured: a geometry-optimized Er3Ni4B4C3 structure at the PBE level of DFT.

abc: 12.970 12.970 12.970
angles: 164.31 164.31 22.25
Positions (direct):
Er (0.000, 0.000, 0.000)
Er (0.299, 0.299, 0.000)
Er (0.701, 0.701, 0.000)
Ni (0.101, 0.601, 0.500)
Ni (0.399, 0.899, 0.500)
Ni (0.601, 0.101, 0.500)
Ni (0.899, 0.399, 0.500)
B (0.146, 0.146, 0.000)
B (0.441, 0.441, 0.000)
B (0.559, 0.559, 0.000)
B (0.854, 0.854, 0.000)
C (0.204, 0.204, 0.000)
C (0.500, 0.500, 0.000)
C (0.796, 0.796, 0.000)

Properties
Energy   -6.99 eV/atom
Space-group type   I4/mmm


No. 7
Computed, not measured: a geometry-optimized ErMgAg structure at the PBE level of DFT.

abc: 6.743 6.743 6.743
angles: 90.00 90.00 90.00
Positions (direct):
Er (0.000, 0.000, 0.000)
Er (0.000, 0.500, 0.500)
Er (0.500, 0.000, 0.500)
Er (0.500, 0.500, 0.000)
Mg (0.250, 0.250, 0.750)
Mg (0.250, 0.750, 0.250)
Mg (0.750, 0.250, 0.250)
Mg (0.750, 0.750, 0.750)
Ag (0.000, 0.000, 0.500)
Ag (0.000, 0.500, 0.000)
Ag (0.500, 0.000, 0.000)
Ag (0.500, 0.500, 0.500)

Properties
Energy   -2.69 eV/atom
Space-group type   F-43m


No. 8
Computed, not measured: a geometry-optimized Sr3Hg4Bi2 structure at the PBE level of DFT.

abc: 6.952 6.952 9.864
angles: 109.06 109.06 40.53
Positions (direct):
Sr (0.000, 0.000, 0.000)
Sr (0.324, 0.324, 0.359)
Sr (0.676, 0.676, 0.641)
Hg (0.000, 0.000, 0.350)
Hg (0.000, 0.000, 0.650)
Hg (0.223, 0.223, 0.908)
Hg (0.777, 0.777, 0.092)
Bi (0.384, 0.384, 0.732)
Bi (0.616, 0.616, 0.268)

Properties
Energy   -2.18 eV/atom
Space-group type   C2/m


No. 9
Computed, not measured: a geometry-optimized Cs2TcPdBr6 structure at the PBE level of DFT.

abc: 7.618 7.618 7.618
angles: 60.00 60.00 60.00
Positions (direct):
Cs (0.250, 0.250, 0.250)
Cs (0.750, 0.750, 0.750)
Tc (0.000, 0.000, 0.000)
Pd (0.500, 0.500, 0.500)
Br (0.243, 0.243, 0.757)
Br (0.243, 0.757, 0.243)
Br (0.243, 0.757, 0.757)
Br (0.757, 0.243, 0.243)
Br (0.757, 0.243, 0.757)
Br (0.757, 0.757, 0.243)

Properties
Energy   -3.58 eV/atom
Space-group type   Fm-3m


No. 10
Computed, not measured: a geometry-optimized TmBeMo structure at the PBE level of DFT.

abc: 6.412 6.412 6.412
angles: 90.00 90.00 90.00
Positions (direct):
Tm (0.000, 0.000, 0.000)
Tm (0.000, 0.500, 0.500)
Tm (0.500, 0.000, 0.500)
Tm (0.500, 0.500, 0.000)
Be (0.250, 0.250, 0.750)
Be (0.250, 0.750, 0.250)
Be (0.750, 0.250, 0.250)
Be (0.750, 0.750, 0.750)
Mo (0.250, 0.250, 0.250)
Mo (0.250, 0.750, 0.750)
Mo (0.750, 0.250, 0.750)
Mo (0.750, 0.750, 0.250)

Properties
Energy   -4.87 eV/atom
Space-group type   F-43m


No. 11
Computed, not measured: a geometry-optimized CsCu3SnTe4 structure at the PBE level of DFT.

abc: 6.259 8.386 11.150
angles: 90.00 103.71 90.00
Positions (direct):
Cs (0.180, 0.250, 0.384)
Cs (0.820, 0.750, 0.616)
Cu (0.312, 0.564, 0.011)
Cu (0.312, 0.936, 0.011)
Cu (0.374, 0.750, 0.201)
Cu (0.626, 0.250, 0.799)
Cu (0.688, 0.064, 0.989)
Cu (0.688, 0.436, 0.989)
Sn (0.141, 0.250, 0.784)
Sn (0.859, 0.750, 0.216)
Te (0.025, 0.250, 0.014)
Te (0.231, 0.750, 0.407)
Te (0.401, 0.531, 0.792)
Te (0.401, 0.969, 0.792)
Te (0.599, 0.031, 0.208)
Te (0.599, 0.469, 0.208)
Te (0.769, 0.250, 0.593)
Te (0.975, 0.750, 0.986)

Properties
Energy   -3.45 eV/atom
Space-group type   P2_1/m


No. 12
Computed, not measured: a geometry-optimized ZrC structure at the PBE level of DFT.

abc: 2.932 2.932 2.932
angles: 90.00 90.00 90.00
Positions (direct):
Zr (0.000, 0.000, 0.000)
C (0.500, 0.500, 0.500)

Properties
Energy   -8.47 eV/atom
Space-group type   Pm-3m